No. 1
CdPt2Br | PBE | relaxed

Cell and atoms, written as POSCAR:
```
CdPt2Br
1.0
-1.573 -6.102 1.667
0.954 -3.061 5.676
-2.466 4.978 -3.411
Br Pt Cd
1 2 1
direct
0.565 0.565 0.000 Br
0.912 0.912 0.000 Pt
0.738 0.238 0.500 Pt
0.286 0.786 0.500 Cd
```

Properties
ΔE_f (raw) in eV/atom: 0.153
Excess energy over the best structure of this formula in the dataset in kJ/mol of atoms: 12.1
Total magnetization in μB per cell: 0.00
Final energy in eV per atom: -3.514

=====

No. 2
CdPtBr2 | PBE | relaxed

Cell and atoms, written as POSCAR:
```
CdPtBr2
1.0
-4.745 -1.397 -0.650
-1.693 -1.028 -4.579
-1.063 -4.706 -1.268
Br Pt Cd
2 1 1
direct
0.000 0.000 0.000 Br
0.250 0.250 0.250 Br
0.750 0.750 0.750 Pt
0.500 0.500 0.500 Cd
```

Properties
ΔE_f (raw) in eV/atom: 0.416
Excess energy over the best structure of this formula in the dataset in kJ/mol of atoms: 60.0
Total magnetization in μB per cell: 0.00
Final energy in eV per atom: -2.159

=====

No. 3
CdPt2Br | PBE | relaxed

Cell and atoms, written as POSCAR:
```
CdPt2Br
1.0
4.044 0.000 0.000
0.000 4.044 0.000
2.022 2.022 9.720
Br Pt Cd
2 4 2
direct
0.500 0.500 0.000 Br
0.250 0.750 0.500 Br
0.633 0.125 0.250 Pt
0.117 0.625 0.250 Pt
0.375 0.367 0.750 Pt
0.875 0.883 0.750 Pt
0.000 0.000 0.000 Cd
0.750 0.250 0.500 Cd
```

Properties
ΔE_f (raw) in eV/atom: 0.263
Excess energy over the best structure of this formula in the dataset in kJ/mol of atoms: 22.7
Total magnetization in μB per cell: 0.00
Final energy in eV per atom: -3.404

=====

No. 4
Cd4PtBr | PBE | relaxed

Cell and atoms, written as POSCAR:
```
Cd4PtBr
1.0
3.298 -4.190 2.171
3.042 0.926 4.800
-1.509 -2.599 4.911
Cd Pt Br
4 1 1
direct
0.873 0.376 0.376 Cd
0.376 0.376 0.873 Cd
0.376 0.873 0.376 Cd
0.376 0.376 0.376 Cd
0.750 0.750 0.750 Pt
0.000 0.000 0.000 Br
```

Properties
ΔE_f (raw) in eV/atom: 0.225
Total magnetization in μB per cell: 0.00
Final energy in eV per atom: -1.671